An optimized crystal structure of SmGaSnTe3, computed with PBE-GGA.

Summary:
crystal system: orthorhombic

Cell and atoms, written as CIF:
```
data_SmGaSnTe3
_chemical_formula_sum 'Sm4 Ga4 Sn4 Te12'
_symmetry_space_group_name_H-M 'C m c m'
_symmetry_Int_Tables_number 63
_symmetry_space_group_name_Hall '-C 2c 2'
_cell_length_a 4.4569
_cell_length_b 15.1037
_cell_length_c 11.0071
_cell_angle_alpha 90.00
_cell_angle_beta 90.00
_cell_angle_gamma 90.00
loop_
_atom_site_label
_atom_site_type_symbol
_atom_site_fract_x
_atom_site_fract_y
_atom_site_fract_z
_atom_site_occupancy
Sm1 Sm 0.0000 0.0000 0.0000 1
Ga1 Ga 0.0000 0.4691 0.2500 1
Sn1 Sn 0.0000 0.2503 0.7500 1
Te1 Te 0.0000 0.1043 0.2500 1
Te2 Te 0.0000 0.3520 0.0453 1
```

An optimized crystal structure of HfFeCuAs, computed with PBE-GGA.

Summary:
crystal system: cubic
offset from the most stable computed form: 0.000 eV/f.u.

Cell and atoms, written as CIF:
```
data_HfFeCuAs
_chemical_formula_sum 'Hf4 Fe4 Cu4 As4'
_symmetry_space_group_name_H-M 'F -4 3 m'
_symmetry_Int_Tables_number 216
_symmetry_space_group_name_Hall 'F -4 2 3'
_cell_length_a 6.2234
_cell_length_b 6.2234
_cell_length_c 6.2234
_cell_angle_alpha 90.00
_cell_angle_beta 90.00
_cell_angle_gamma 90.00
loop_
_atom_site_label
_atom_site_type_symbol
_atom_site_fract_x
_atom_site_fract_y
_atom_site_fract_z
_atom_site_occupancy
Hf1 Hf 0.0000 0.0000 0.0000 1
Fe1 Fe 0.0000 0.0000 0.5000 1
Cu1 Cu 0.2500 0.2500 0.7500 1
As1 As 0.2500 0.2500 0.2500 1
```

An optimized crystal structure of YThAu2, computed with PBE-GGA.

Summary:
crystal system: orthorhombic
energy of formation from the pure elements: -0.76 eV/atom

Cell and atoms, written as CIF:
```
data_YThAu2
_chemical_formula_sum 'Y2 Th2 Au4'
_symmetry_space_group_name_H-M 'A m m 2'
_symmetry_Int_Tables_number 38
_symmetry_space_group_name_Hall 'A 2 -2'
_cell_length_a 4.6977
_cell_length_b 3.8830
_cell_length_c 11.2445
_cell_angle_alpha 90.00
_cell_angle_beta 90.00
_cell_angle_gamma 90.00
loop_
_atom_site_label
_atom_site_type_symbol
_atom_site_fract_x
_atom_site_fract_y
_atom_site_fract_z
_atom_site_occupancy
Y1 Y 0.0000 0.0000 0.0000 1
Th1 Th 0.5000 0.0000 0.7250 1
Au1 Au 0.0000 0.0000 0.2713 1
Au2 Au 0.5000 0.0000 0.4509 1
```

Number 1: calculated density 6469 kg/m3, raw total energy -98.166 eV for the cell shown. Number 2: calculated density 10273 kg/m3, raw total energy -107.815 eV for the cell shown. Number 3: calculated density 11575 kg/m3, raw total energy -46.875 eV for the cell shown.